KPu4Au3Se12 | PBE-GGA | optimized geometry

Output
The crystal system is cubic. The value obtained for the formation energy from raw total energies is -14.9 eV per formula unit. The value obtained for the uncorrected energy is -6.25 eV per atom. For the magnetization, the calculation gives 0.90 μB/atom. The volume is 1126.5 Å³/cell.

Cell: 10.405 10.405 10.405 Å, 90.00 90.00 90.00°
Space group Im-3 (No. 204)
Symmetry-distinct sites (fractional):
K1 0.000 0.000 0.000
Pu1 0.250 0.250 0.250
Au1 0.000 0.000 0.500
Se1 0.000 0.319 0.165